No. 1
Below is a geometry-optimized CsRbGe3 structure, with properties calculated at the GGA-PBE level.

Cell: 6.0923 6.0923 6.0923 Å, 90.00 90.00 90.00°
Positions (direct):
Cs 0.5000 0.5000 0.5000
Ge 0.0000 0.5000 0.0000
Ge 0.0000 0.0000 0.5000
Ge 0.5000 0.0000 0.0000
Rb 0.0000 0.0000 0.0000

Summary:
M_tot ... 0.00 μB per formula unit
E_form ... 1.1759 eV/atom
Density ... 3.204 g cm⁻³
Energy above the lowest structure with this stoichiometry ... 0.0 meV/atom
Space group ... No. 221

No. 2
Below is a geometry-optimized CsRbGeS3 structure, with properties calculated at the GGA-PBE level.

Cell: 6.9850 6.9850 10.0734 Å, 90.70 90.70 93.49°
Positions (direct):
Cs 0.8053 0.8053 0.8790
Cs 0.1947 0.1947 0.1210
Rb 0.2667 0.7333 0.5000
Rb 0.7333 0.2667 0.5000
Ge 0.1795 0.1795 0.7066
Ge 0.8205 0.8205 0.2934
S 0.2414 0.2414 0.5027
S 0.3158 0.9564 0.8069
S 0.9564 0.3158 0.8069
S 0.0436 0.6842 0.1931
S 0.6842 0.0436 0.1931
S 0.7586 0.7586 0.4973

Summary:
M_tot ... 0.00 μB per formula unit
Density ... 2.622 g cm⁻³
Space group ... No. 12
E_form (uncorrected) ... -890 meV/atom

No. 3
Below is a geometry-optimized CsRb2GeS structure, with properties calculated at the GGA-PBE level.

Cell: 6.8386 5.2856 6.8386 Å, 90.00 90.00 90.00°
Positions (direct):
Cs 0.5000 0.5000 0.5000
Ge 0.0000 0.0000 0.0000
S 0.0000 0.5000 0.0000
Rb 0.0000 0.0000 0.5000
Rb 0.5000 0.0000 0.0000

Summary:
M_tot ... 0.00 μB per formula unit
Density ... 2.745 g cm⁻³
Space group ... No. 123
E_form (uncorrected) ... -6 meV/atom

No. 4
Below is a geometry-optimized CsRb2GeS4 structure, with properties calculated at the GGA-PBE level.

Cell: 8.2263 7.3310 7.3310 Å, 74.94 55.87 55.87°
Positions (direct):
Cs 0.0000 0.0000 0.0000
Rb 0.5000 0.7495 0.2505
Rb 0.5000 0.2505 0.7495
Ge 0.0000 0.5000 0.5000
S 0.6780 0.5257 0.7967
S 0.3220 0.2033 0.4743
S 0.0003 0.4743 0.2033
S 0.9997 0.7967 0.5257

Summary:
M_tot ... 1.13 μB per formula unit
Density ... 2.776 g cm⁻³
Space group ... No. 121
E_form (uncorrected) ... -800 meV/atom

No. 5
Below is a geometry-optimized Cs2RbGeSb2 structure, with properties calculated at the GGA-PBE level.

Cell: 7.4891 9.0128 10.1001 Å, 116.50 111.76 90.00°
Positions (direct):
Cs 0.6749 0.8753 0.3497
Cs 0.1749 0.4744 0.3497
Cs 0.8251 0.5256 0.6503
Cs 0.3251 0.1247 0.6503
Rb 0.2500 0.0000 0.0000
Rb 0.7500 0.0000 0.0000
Ge 0.7500 0.5000 0.0000
Ge 0.2500 0.5000 0.0000
Sb 0.4130 0.5949 0.8261
Sb 0.5870 0.4051 0.1739
Sb 0.0870 0.7688 0.1739
Sb 0.9130 0.2312 0.8261

Summary:
M_tot ... 0.00 μB per formula unit
Density ... 3.992 g cm⁻³
Space group ... No. 72
E_form (uncorrected) ... -311 meV/atom

No. 6
Below is a geometry-optimized Cs4Rb2GeSb2 structure, with properties calculated at the GGA-PBE level.

Cell: 5.8448 9.9127 9.9127 Å, 68.16 73.39 73.39°
Positions (direct):
Cs 0.1322 0.6729 0.0707
Cs 0.8678 0.9293 0.3271
Cs 0.8678 0.3271 0.9293
Cs 0.1322 0.0707 0.6729
Rb 0.3475 0.6473 0.6473
Rb 0.6525 0.3527 0.3527
Ge 0.5000 0.0000 0.0000
Sb 0.3001 0.1994 0.1994
Sb 0.6999 0.8006 0.8006

Summary:
M_tot ... 1.63 μB per formula unit
Density ... 3.381 g cm⁻³
Space group ... No. 12
E_form (uncorrected) ... -125 meV/atom

No. 7
Below is a geometry-optimized CsRb2GeSe4 structure, with properties calculated at the GGA-PBE level.

Cell: 8.6435 7.6281 7.6281 Å, 73.47 55.49 55.49°
Positions (direct):
Cs 0.0000 0.0000 0.0000
Rb 0.5000 0.7496 0.2504
Rb 0.5000 0.2504 0.7496
Ge 0.0000 0.5000 0.5000
Se 0.6726 0.5236 0.8042
Se 0.3274 0.1958 0.4764
Se 0.0004 0.4764 0.1958
Se 0.9996 0.8042 0.5236

Summary:
M_tot ... 1.14 μB per formula unit
Density ... 3.371 g cm⁻³
Space group ... No. 121
E_form (uncorrected) ... -776 meV/atom

No. 8
Below is a geometry-optimized CsRb2GeTe structure, with properties calculated at the GGA-PBE level.

Cell: 6.6187 6.8965 6.6187 Å, 90.00 90.00 90.00°
Positions (direct):
Cs 0.0000 0.5000 0.0000
Ge 0.0000 0.0000 0.0000
Te 0.5000 0.5000 0.5000
Rb 0.0000 0.0000 0.5000
Rb 0.5000 0.0000 0.0000

Summary:
M_tot ... 2.99 μB per formula unit
Density ... 2.771 g cm⁻³
Space group ... No. 123
E_form (uncorrected) ... -26 meV/atom

Number 1: DFT total energy -1.959 eV per atom. Number 2: DFT total energy -4.027 eV per atom. Number 3: DFT total energy -2.313 eV per atom. Number 4: DFT total energy -3.789 eV per atom. Number 5: DFT total energy -2.901 eV per atom. Number 6: DFT total energy -2.149 eV per atom. Number 7: DFT total energy -3.444 eV per atom. Number 8: DFT total energy -2.136 eV per atom.